The following is a DFT calculation (GGA-PBE) of a geometry-optimized La2Tb2Nd structure.

Cell lengths 4.661, 4.661, 16.825 Å; angles 90.00, 90.00, 90.00 degrees
Space group I4/mmm (No. 139)
Asymmetric unit:
La  0.000  0.000  0.093 [4 per cell]
Tb  0.000  0.500  0.250 [4 per cell]
Nd  0.000  0.000  0.500 [2 per cell]

Calculated values
ΔE_f (eV/atom): 0.33
Energy above the lowest structure with this stoichiometry (meV/atom): 293

The following is a DFT calculation (GGA-PBE) of a geometry-optimized LaTb5Nd4 structure.

Cell lengths 25.928, 3.636, 7.247 Å; angles 90.00, 98.05, 90.00 degrees
Space group C2/m (No. 12)
Asymmetric unit:
La  0.000  0.000  0.000 [2 per cell]
Tb  0.000  0.000  0.500 [2 per cell]
Tb  0.202  0.000  0.101 [4 per cell]
Tb  0.202  0.000  0.601 [4 per cell]
Nd  0.102  0.500  0.303 [4 per cell]
Nd  0.102  0.500  0.799 [4 per cell]

Calculated values
ΔE_f (eV/atom): 0.02

The following is a DFT calculation (GGA-PBE) of a geometry-optimized La7Tb2Nd3 structure.

Cell lengths 6.033, 3.649, 19.570 Å; angles 90.00, 93.49, 90.00 degrees
Space group P2/m (No. 10)
Asymmetric unit:
La  0.000  0.000  0.000 [1 per cell]
La  0.177  0.500  0.183 [2 per cell]
La  0.257  0.500  0.534 [2 per cell]
La  0.325  0.000  0.853 [2 per cell]
Tb  0.293  0.500  0.703 [2 per cell]
Nd  0.218  0.000  0.364 [2 per cell]
Nd  0.500  0.500  0.000 [1 per cell]

Calculated values
ΔE_f (eV/atom): 0.08
Energy above the lowest structure with this stoichiometry (meV/atom): 19

The following is a DFT calculation (GGA-PBE) of a geometry-optimized La2Tb3Nd5 structure.

Cell lengths 9.909, 17.467, 8.215 Å; angles 90.00, 90.00, 90.00 degrees
Space group Ibam (No. 72)
Asymmetric unit:
La  0.113  0.116  0.000 [8 per cell]
Tb  0.000  0.000  0.250 [4 per cell]
Tb  0.249  0.121  0.500 [8 per cell]
Nd  0.000  0.238  0.250 [8 per cell]
Nd  0.000  0.500  0.250 [4 per cell]
Nd  0.097  0.366  0.500 [8 per cell]

Calculated values
ΔE_f (eV/atom): 0.40
Energy above the lowest structure with this stoichiometry (meV/atom): 226

Please write out number 4 again, unchanged.
The following is a DFT calculation (GGA-PBE) of a geometry-optimized La2Tb3Nd5 structure.

Cell lengths 9.909, 17.467, 8.215 Å; angles 90.00, 90.00, 90.00 degrees
Space group Ibam (No. 72)
Asymmetric unit:
La  0.113  0.116  0.000 [8 per cell]
Tb  0.000  0.000  0.250 [4 per cell]
Tb  0.249  0.121  0.500 [8 per cell]
Nd  0.000  0.238  0.250 [8 per cell]
Nd  0.000  0.500  0.250 [4 per cell]
Nd  0.097  0.366  0.500 [8 per cell]

Calculated values
ΔE_f (eV/atom): 0.40
Energy above the lowest structure with this stoichiometry (meV/atom): 226

Question: Which value of ΔE_f does entry 4 give?
Answer: 0.40 eV/atom

Question: What is the ΔE_f in the fourth record?
Answer: 0.40 eV/atom